First-principles (SCAN) data for a PBEsol-optimized structure of Zr2CdOs, as listed in Alexandria via LeMat-Bulk.

Unit cell a=6.6097 b=6.6097 c=6.6097 alpha=90.00 beta=90.00 gamma=90.00
Space group F-43m (No. 216)
Unique sites:
Zr 0.0000 0.0000 0.0000 x4
Zr 0.2500 0.2500 0.2500 x4
Cd 0.2500 0.2500 0.7500 x4
Os 0.0000 0.0000 0.5000 x4

Computed properties:
Energy of formation from the pure elements: -0.093 eV per atom
Volume: 18.05 Å³/atom
Final energy: -41.016 eV per atom

First-principles (SCAN) data for a PBEsol-optimized structure of Li3AgSe, as listed in Alexandria via LeMat-Bulk.

Unit cell a=4.7770 b=4.7770 c=4.7770 alpha=90.00 beta=90.00 gamma=90.00
Space group Pm-3m (No. 221)
Unique sites:
Li 0.0000 0.0000 0.5000 x3
Ag 0.5000 0.5000 0.5000 x1
Se 0.0000 0.0000 0.0000 x1

Computed properties:
Energy relative to the elements, uncorrected: -0.60 eV/atom
Volume: 21.80 Å³/atom
Final energy: -12.326 eV per atom

First-principles (SCAN) data for a PBEsol-optimized structure of LaScIn, as listed in Alexandria via LeMat-Bulk.

Unit cell a=5.0739 b=5.0739 c=3.7401 alpha=90.00 beta=90.00 gamma=120.00
Space group P3m1 (No. 156)
Unique sites:
La 0.0000 0.0000 0.0000 x1
Sc 0.3333 0.6667 0.4978 x1
In 0.6667 0.3333 0.5033 x1

Computed properties:
Energy relative to the lowest polymorph listed for this composition: 0.0 meV per atom
Energy of formation from the pure elements: -0.379 eV per atom
Volume: 27.80 Å³/atom
Final energy: -30.622 eV per atom

First-principles (SCAN) data for a PBEsol-optimized structure of Li4CoTeO6, as listed in Alexandria via LeMat-Bulk.

Unit cell a=5.1937 b=8.7273 c=5.1311 alpha=90.00 beta=111.26 gamma=90.00
Space group C2 (No. 5)
Unique sites:
Li 0.0000 0.0000 0.0000 x2
Li 0.0000 0.1629 0.5000 x2
Li 0.0000 0.5221 0.5000 x2
Li 0.0000 0.8352 0.5000 x2
Co 0.0000 0.6668 0.0000 x2
Te 0.0000 0.3318 0.0000 x2
O 0.2190 0.5019 0.2309 x4
O 0.2360 0.1798 0.2472 x4
O 0.2481 0.3252 0.7852 x4

Computed properties:
Energy relative to the elements, uncorrected: -1.81 eV/atom
Volume: 9.03 Å³/atom
Final energy: -10.267 eV per atom

First-principles (SCAN) data for a PBEsol-optimized structure of Sr2SbO2, as listed in Alexandria via LeMat-Bulk.

Unit cell a=4.3778 b=4.3778 c=11.5424 alpha=90.00 beta=90.00 gamma=90.00
Space group I4/mmm (No. 139)
Unique sites:
Sr 0.0000 0.0000 0.1684 x4
Sb 0.0000 0.0000 0.5000 x2
O 0.0000 0.5000 0.2500 x4

Computed properties:
Energy relative to the elements, uncorrected: -1.70 eV/atom
Volume: 22.12 Å³/atom
Final energy: -20.550 eV per atom

First-principles (SCAN) data for a PBEsol-optimized structure of Sb2TeBr2, as listed in Alexandria via LeMat-Bulk.

Unit cell a=4.5651 b=4.5651 c=13.7154 alpha=90.00 beta=90.00 gamma=90.00
Space group I4/mmm (No. 139)
Unique sites:
Sb 0.0000 0.0000 0.1049 x4
Te 0.0000 0.0000 0.5000 x2
Br 0.0000 0.5000 0.2500 x4

Computed properties:
Energy relative to the elements, uncorrected: 0.18 eV/atom
Volume: 28.58 Å³/atom
Final energy: -29.963 eV per atom

First-principles (SCAN) data for a PBEsol-optimized structure of AgPbAu2, as listed in Alexandria via LeMat-Bulk.

Unit cell a=3.2045 b=4.4494 c=5.8029 alpha=90.00 beta=105.47 gamma=90.00
Space group Pm (No. 6)
Unique sites:
Ag 0.0000 0.0000 0.0000 x1
Pb 0.3081 0.5000 0.6447 x1
Au 0.5717 0.5000 0.1445 x1
Au 0.7165 0.0000 0.4450 x1

Computed properties:
Energy of formation from the pure elements: 0.012 eV per atom
Volume: 19.94 Å³/atom
Final energy: -61.354 eV per atom

First-principles (SCAN) data for a PBEsol-optimized structure of Si3Cl, as listed in Alexandria via LeMat-Bulk.

Unit cell a=4.0397 b=4.0397 c=4.0397 alpha=90.00 beta=90.00 gamma=90.00
Space group Pm-3m (No. 221)
Unique sites:
Si 0.0000 0.0000 0.5000 x3
Cl 0.5000 0.5000 0.5000 x1

Computed properties:
Energy relative to the lowest polymorph listed for this composition: 356.8 meV per atom
Energy relative to the elements, uncorrected: 1.07 eV/atom
Volume: 16.48 Å³/atom
Final energy: -8.440 eV per atom

First-principles (SCAN) data for a PBEsol-optimized structure of BeAlPb2, as listed in Alexandria via LeMat-Bulk.

Unit cell a=3.3980 b=3.3980 c=7.7526 alpha=90.00 beta=90.00 gamma=90.00
Space group P4mm (No. 99)
Unique sites:
Be 0.0000 0.0000 0.0000 x1
Al 0.5000 0.5000 0.8627 x1
Pb 0.0000 0.0000 0.6234 x1
Pb 0.5000 0.5000 0.2285 x1

Computed properties:
Energy relative to the lowest polymorph listed for this composition: 0.0 meV per atom
Energy of formation from the pure elements: 0.303 eV per atom
Volume: 22.38 Å³/atom
Final energy: -40.614 eV per atom

First-principles (SCAN) data for a PBEsol-optimized structure of Ca2TiFeSn, as listed in Alexandria via LeMat-Bulk.

Unit cell a=5.7565 b=5.7565 c=4.0178 alpha=90.00 beta=90.00 gamma=90.00
Space group P4/mmm (No. 123)
Unique sites:
Ca 0.0000 0.5000 0.0000 x2
Ti 0.0000 0.0000 0.0000 x1
Fe 0.0000 0.0000 0.5000 x1
Sn 0.5000 0.5000 0.5000 x1

Computed properties:
Energy of formation from the pure elements: 0.575 eV per atom
Volume: 26.63 Å³/atom
Final energy: -17.306 eV per atom

First-principles (SCAN) data for a PBEsol-optimized structure of TaTeCl9, as listed in Alexandria via LeMat-Bulk.

Unit cell a=6.4654 b=9.4266 c=11.3502 alpha=106.42 beta=104.56 gamma=92.32
Space group P-1 (No. 2)
Unique sites:
Ta 0.1218 0.2615 0.2073 x2
Te 0.3085 0.3411 0.6645 x2
Cl 0.0171 0.9549 0.7746 x2
Cl 0.0314 0.7945 0.4340 x2
Cl 0.1097 0.6086 0.6683 x2
Cl 0.1290 0.7518 0.9780 x2
Cl 0.2573 0.5085 0.2114 x2
Cl 0.2827 0.3730 0.8713 x2
Cl 0.3732 0.1573 0.1119 x2
Cl 0.3875 0.3095 0.4129 x2
Cl 0.4823 0.1265 0.6572 x2

Computed properties:
Energy relative to the elements, uncorrected: -1.09 eV/atom
Volume: 28.98 Å³/atom
Final energy: -17.061 eV per atom

First-principles (SCAN) data for a PBEsol-optimized structure of K2YAgF6, as listed in Alexandria via LeMat-Bulk.

Unit cell a=9.0067 b=9.0067 c=9.0067 alpha=90.00 beta=90.00 gamma=90.00
Space group Fm-3m (No. 225)
Unique sites:
K 0.2500 0.2500 0.2500 x8
Y 0.0000 0.0000 0.0000 x4
Ag 0.0000 0.0000 0.5000 x4
F 0.0000 0.0000 0.2374 x24

Computed properties:
Energy relative to the elements, uncorrected: -3.10 eV/atom
Volume: 18.27 Å³/atom
Final energy: -12.808 eV per atom